A plane-wave DFT calculation with PBE was carried out for a relaxed structure of Sc4CuAg.

## Properties
- energy above the most stable polymorph in this dataset (meV per atom) = 227
- ΔH_f (0 K) (meV per atom) = 82
- spin magnetization (Bohr magnetons per cell) = 0.00
- DOS(E_F) (states/eV/cell) = 14.828
- final energy (eV per atom) = -5.297

abc: 6.4932 6.4936 6.6306
angles: 90.00 90.02 90.00
Space group C2 (No. 5)
Inequivalent atoms, fractional coordinates:
Sc: 0.2496 0.9999 0.2340
Sc: 0.2499 0.0000 0.7659
Cu: 0.0000 0.2506 0.0000
Ag: 0.0000 0.7498 0.5000